1.
PBEsol YIn2PSe, relaxed; magnetic moment = 0.00 μB/f.u.; space group = P4/mmm; total energy = -0.154 hartree per atom
1.0
4.8403 0.0000 0.0000
0.0000 5.2651 0.0000
0.0000 0.0000 5.2651
Y In Se P
1 2 1 1
Direct
0.5000 0.5000 0.5000 Y
0.0000 0.5000 0.0000 In
0.0000 0.0000 0.5000 In
0.0000 0.0000 0.0000 Se
0.5000 0.0000 0.0000 P

***

2.
PBEsol LiTl3Mo, relaxed; ΔE_f = 0.531 eV per atom; magnetic moment = 0.00 μB/f.u.; space group = Pm-3m
1.0
-4.2228 0.3143 3.2094
-2.5813 -3.4988 -3.0538
1.9328 -3.9862 2.9335
Tl Li Mo
3 1 1
Direct
0.0000 0.0000 0.5000 Tl
0.0000 0.5000 0.0000 Tl
0.5000 0.0000 0.0000 Tl
0.5000 0.5000 0.5000 Li
0.0000 0.0000 0.0000 Mo